Below is a geometry-optimized CsIn6Pt structure, with properties calculated at the PBE level.

Cell and atoms, written as POSCAR:
```
CsIn6Pt
1.0
4.883 0.000 0.000
0.000 4.883 0.000
0.000 0.000 9.606
Cs In Pt
1 6 1
direct
0.000 0.000 0.000 Cs
0.500 0.000 0.657 In
0.000 0.500 0.657 In
0.500 0.500 0.155 In
0.500 0.500 0.845 In
0.000 0.500 0.343 In
0.500 0.000 0.343 In
0.000 0.000 0.500 Pt
```

Computed properties:
The space group is P4/mmm. The calculation puts the electronic total energy at -3.13 eV/atom. Its density of states at the Fermi level is 0.58 states/eV/atom.